{"formula": "La7Dy3Tm", "functional": "PBE-GGA", "state": "optimized geometry", "final_energy_ev_per_cell": -50.38, "magnetic_moment_mub_per_cell": 0.00, "space_group": "Immm (71)", "formation_energy_ev_per_atom": 0.217, "e_above_lowest_polymorph_mev_per_atom": 107.4, "lattice_angstrom": [[-1.504, 5.330, 2.346], [-5.579, -6.106, 2.587], [5.512, -4.146, 5.246]], "species": ["La", "La", "La", "La", "La", "La", "La", "Dy", "Dy", "Dy", "Tm"], "fractional_positions": [[0.211, 0.211, 0.211], [0.307, 0.020, 0.595], [0.693, 0.405, 0.980], [0.307, 0.595, 0.020], [0.000, 0.500, 0.500], [0.693, 0.980, 0.405], [0.789, 0.789, 0.789], [0.000, 0.795, 0.205], [0.500, 0.000, 0.000], [0.000, 0.205, 0.795], [0.500, 0.500, 0.500]]}


{"formula": "La5Dy4Tm", "functional": "PBE-GGA", "state": "optimized geometry", "final_energy_ev_per_cell": -47.27, "magnetic_moment_mub_per_cell": 0.00, "space_group": "P4/mmm (123)", "formation_energy_ev_per_atom": 0.025, "e_above_lowest_polymorph_mev_per_atom": 0.0, "lattice_angstrom": [[3.695, 0.000, 0.000], [0.000, 3.695, 0.000], [0.000, 0.000, 25.017]], "species": ["La", "La", "La", "La", "La", "Dy", "Dy", "Dy", "Dy", "Tm"], "fractional_positions": [[0.500, 0.500, 0.099], [0.500, 0.500, 0.299], [0.500, 0.500, 0.500], [0.500, 0.500, 0.701], [0.500, 0.500, 0.901], [0.000, 0.000, 0.199], [0.000, 0.000, 0.400], [0.000, 0.000, 0.600], [0.000, 0.000, 0.801], [0.000, 0.000, 0.000]]}


{"formula": "La2DyTm6", "functional": "PBE-GGA", "state": "optimized geometry", "final_energy_ev_per_cell": -39.47, "magnetic_moment_mub_per_cell": 0.00, "space_group": "Immm (71)", "formation_energy_ev_per_atom": 0.202, "e_above_lowest_polymorph_mev_per_atom": 126.4, "lattice_angstrom": [[-2.405, 7.021, 6.953], [7.115, 6.871, 2.363], [-7.227, -4.961, -5.155]], "species": ["La", "La", "Dy", "Tm", "Tm", "Tm", "Tm", "Tm", "Tm"], "fractional_positions": [[0.667, 0.667, 0.000], [0.333, 0.333, 0.000], [0.000, 0.000, 0.000], [0.352, 0.166, 0.186], [0.020, 0.834, 0.186], [0.648, 0.834, 0.814], [0.305, 0.500, 0.805], [0.980, 0.166, 0.814], [0.695, 0.500, 0.195]]}


{"formula": "LaDy4Tm15", "functional": "PBE-GGA", "state": "optimized geometry", "final_energy_ev_per_cell": -89.83, "magnetic_moment_mub_per_cell": 0.00, "space_group": "P4/mmm (123)", "formation_energy_ev_per_atom": 0.029, "lattice_angstrom": [[4.968, 0.000, 0.000], [0.000, 4.968, 0.000], [0.000, 0.000, 24.834]], "species": ["La", "Dy", "Dy", "Dy", "Dy", "Tm", "Tm", "Tm", "Tm", "Tm", "Tm", "Tm", "Tm", "Tm", "Tm", "Tm", "Tm", "Tm", "Tm", "Tm"], "fractional_positions": [[0.000, 0.000, 0.000], [0.000, 0.000, 0.202], [0.000, 0.000, 0.401], [0.000, 0.000, 0.599], [0.000, 0.000, 0.798], [0.500, 0.500, 0.000], [0.500, 0.500, 0.202], [0.500, 0.500, 0.401], [0.500, 0.500, 0.599], [0.500, 0.500, 0.798], [0.500, 0.000, 0.103], [0.500, 0.000, 0.301], [0.500, 0.000, 0.500], [0.500, 0.000, 0.699], [0.500, 0.000, 0.897], [0.000, 0.500, 0.103], [0.000, 0.500, 0.301], [0.000, 0.500, 0.500], [0.000, 0.500, 0.699], [0.000, 0.500, 0.897]]}